1.
Here is crystalline Fe2SbCl at its relaxed geometry from Alexandria. Energies are from PBE.

Values from the calculation:
As for the crystal system: tetragonal. The space group is P4mm, No. 99.

Geometry as extended XYZ:
```
4
Lattice="3.208 0.000 0.000 0.000 3.208 0.000 0.000 0.000 7.658" Properties=species:S:1:pos:R:3 pbc="T T T"
Fe 0.000 0.000 0.000
Fe 1.604 1.604 1.119
Sb 0.000 0.000 2.757
Cl 1.604 1.604 6.285
```

***

2.
Here is crystalline FeSbCl2 at its relaxed geometry from Alexandria. Energies are from PBE.

Values from the calculation:
As for the crystal system: orthorhombic. The space group is Fmmm, No. 69. For the offset from the most stable computed form, the calculation gives 0.420 eV/atom.

Geometry as extended XYZ:
```
4
Lattice="0.000 3.282 4.422 3.041 0.000 4.422 3.041 3.282 0.000" Properties=species:S:1:pos:R:3 pbc="T T T"
Fe 0.000 0.000 0.000
Sb 3.041 3.282 4.422
Cl 3.041 1.641 2.211
Cl 0.000 1.641 2.211
```

***

3.
Here is crystalline FeSbCl at its relaxed geometry from Alexandria. Energies are from PBE.

Values from the calculation:
As for the crystal system: trigonal. The space group is P3m1, No. 156. For the offset from the most stable computed form, the calculation gives 0.538 eV/atom.

Geometry as extended XYZ:
```
3
Lattice="4.600 0.000 0.000 -2.300 3.984 0.000 0.000 0.000 3.143" Properties=species:S:1:pos:R:3 pbc="T T T"
Fe 0.000 0.000 0.000
Sb 2.300 1.328 1.558
Cl 0.000 2.656 3.132
```

***

4.
Here is crystalline Fe2SbCl at its relaxed geometry from Alexandria. Energies are from PBE.

Values from the calculation:
As for the crystal system: tetragonal. The space group is I-4m2, No. 119.

Geometry as extended XYZ:
```
4
Lattice="-1.835 1.835 5.353 1.835 -1.835 5.353 1.835 1.835 -5.353" Properties=species:S:1:pos:R:3 pbc="T T T"
Fe 0.000 0.000 0.000
Fe 0.000 1.835 2.677
Sb 1.835 0.000 2.677
Cl 0.000 0.000 5.353
```

***

5.
Here is crystalline FeSbCl2 at its relaxed geometry from Alexandria. Energies are from PBE.

Values from the calculation:
As for the crystal system: cubic. The space group is F-43m, No. 216. For the offset from the most stable computed form, the calculation gives 0.628 eV/atom.

Geometry as extended XYZ:
```
4
Lattice="0.000 3.463 3.463 3.463 0.000 3.463 3.463 3.463 0.000" Properties=species:S:1:pos:R:3 pbc="T T T"
Fe 0.000 0.000 0.000
Sb 5.195 5.195 5.195
Cl 1.732 1.732 1.732
Cl 3.463 3.463 3.463
```

***

6.
Here is crystalline FeSbCl2 at its relaxed geometry from Alexandria. Energies are from PBE.

Values from the calculation:
As for the crystal system: trigonal. The space group is R-3m, No. 166. For the offset from the most stable computed form, the calculation gives 0.301 eV/atom.

Geometry as extended XYZ:
```
4
Lattice="1.683 0.972 9.400 -1.683 0.972 9.400 0.000 -1.943 9.400" Properties=species:S:1:pos:R:3 pbc="T T T"
Fe 0.000 0.000 0.000
Sb 0.000 0.000 14.099
Cl 0.000 0.000 2.154
Cl 0.000 0.000 26.045
```

***

7.
Here is crystalline Fe2SbCl at its relaxed geometry from Alexandria. Energies are from PBE.

Values from the calculation:
As for the crystal system: orthorhombic. The space group is Pmmm, No. 47.

Geometry as extended XYZ:
```
4
Lattice="3.191 0.000 0.000 0.000 3.748 0.000 0.000 0.000 6.393" Properties=species:S:1:pos:R:3 pbc="T T T"
Fe 0.000 0.000 1.213
Fe 0.000 0.000 5.179
Sb 1.595 1.874 0.000
Cl 1.595 0.000 3.196
```

***

8.
Here is crystalline FeSbCl at its relaxed geometry from Alexandria. Energies are from PBE.

Values from the calculation:
As for the crystal system: orthorhombic. The space group is Fmm2, No. 42. For the offset from the most stable computed form, the calculation gives 0.164 eV/atom.

Geometry as extended XYZ:
```
3
Lattice="0.000 2.993 7.677 1.602 0.000 7.677 1.602 2.993 0.000" Properties=species:S:1:pos:R:3 pbc="T T T"
Fe 0.000 0.000 0.000
Sb 1.602 2.993 5.545
Cl 1.602 2.993 9.318
```

***

9.
Here is crystalline FeSbCl at its relaxed geometry from Alexandria. Energies are from PBE.

Values from the calculation:
As for the crystal system: trigonal. The space group is P3m1, No. 156. For the offset from the most stable computed form, the calculation gives 0.000 eV/atom.

Geometry as extended XYZ:
```
3
Lattice="3.354 0.000 0.000 -1.677 2.905 0.000 0.000 0.000 7.363" Properties=species:S:1:pos:R:3 pbc="T T T"
Fe 0.000 0.000 0.000
Sb 0.000 1.936 1.868
Cl 1.677 0.968 5.980
```

***

10.
Here is crystalline FeSbCl2 at its relaxed geometry from Alexandria. Energies are from PBE.

Values from the calculation:
As for the crystal system: cubic. The space group is Fm-3m, No. 225. For the offset from the most stable computed form, the calculation gives 0.743 eV/atom.

Geometry as extended XYZ:
```
4
Lattice="0.000 3.465 3.465 3.465 0.000 3.465 3.465 3.465 0.000" Properties=species:S:1:pos:R:3 pbc="T T T"
Fe 0.000 0.000 0.000
Sb 3.465 3.465 3.465
Cl 1.732 1.732 1.732
Cl 5.197 5.197 5.197
```

***

11.
Here is crystalline FeSbCl2 at its relaxed geometry from Alexandria. Energies are from PBE.

Values from the calculation:
As for the crystal system: trigonal. The space group is R-3m, No. 166. For the offset from the most stable computed form, the calculation gives 0.001 eV/atom.

Geometry as extended XYZ:
```
4
Lattice="1.682 0.971 11.116 -1.682 0.971 11.116 0.000 -1.942 11.116" Properties=species:S:1:pos:R:3 pbc="T T T"
Fe 0.000 0.000 0.000
Sb 0.000 0.000 16.674
Cl 0.000 0.000 9.637
Cl 0.000 0.000 23.711
```

***

12.
Here is crystalline FeSbCl2 at its relaxed geometry from Alexandria. Energies are from PBE.

Values from the calculation:
As for the crystal system: monoclinic. The space group is Cm, No. 8. For the offset from the most stable computed form, the calculation gives 0.008 eV/atom.

Geometry as extended XYZ:
```
4
Lattice="5.858 -1.593 0.000 5.858 1.593 0.000 -1.282 0.000 5.413" Properties=species:S:1:pos:R:3 pbc="T T T"
Fe 0.000 0.000 0.000
Sb 7.275 0.000 1.656
Cl 4.078 0.000 0.129
Cl 5.419 0.000 3.660
```

***

13.
Here is crystalline Fe2SbCl at its relaxed geometry from Alexandria. Energies are from PBE.

Values from the calculation:
As for the crystal system: tetragonal. The space group is I-42d, No. 122.

Geometry as extended XYZ:
```
8
Lattice="-2.581 2.581 5.588 2.581 -2.581 5.588 2.581 2.581 -5.588" Properties=species:S:1:pos:R:3 pbc="T T T"
Fe 3.872 0.947 -1.397
Fe 0.947 1.291 1.397
Fe -1.291 1.635 4.191
Fe 1.635 1.291 6.985
Sb 2.581 0.000 2.794
Sb 0.000 0.000 5.588
Cl 0.000 0.000 0.000
Cl 0.000 2.581 2.794
```

***

14.
Here is crystalline Fe2SbCl8 at its relaxed geometry from Alexandria. Energies are from PBE.

Values from the calculation:
As for the crystal system: monoclinic. The space group is C2/m, No. 12.

Geometry as extended XYZ:
```
11
Lattice="7.062 -4.190 0.000 7.062 4.190 0.000 -0.395 0.000 6.401" Properties=species:S:1:pos:R:3 pbc="T T T"
Fe 2.430 0.000 0.722
Fe 11.300 0.000 5.679
Sb -0.197 0.000 3.200
Cl 5.515 2.488 4.755
Cl 1.946 0.000 4.855
Cl 8.214 2.488 1.646
Cl 4.460 0.000 1.423
Cl 9.270 0.000 4.978
Cl 5.515 -2.488 4.755
Cl 11.784 0.000 1.546
Cl 8.214 -2.488 1.646
```

***

15.
Here is crystalline FeSbCl2 at its relaxed geometry from Alexandria. Energies are from PBE.

Values from the calculation:
As for the crystal system: trigonal. The space group is R3m, No. 160. For the offset from the most stable computed form, the calculation gives 0.006 eV/atom.

Geometry as extended XYZ:
```
4
Lattice="1.769 1.021 8.600 -1.769 1.021 8.600 0.000 -2.043 8.600" Properties=species:S:1:pos:R:3 pbc="T T T"
Fe 0.000 0.000 0.000
Sb 0.000 0.000 18.954
Cl 0.000 0.000 7.303
Cl 0.000 0.000 12.366
```

***

Number 1: D(E_F) 1.852 states/eV per cell, E_form (uncorrected) -21 meV/atom. Number 2: D(E_F) 4.465 states/eV per cell, E_form (uncorrected) 135 meV/atom. Number 3: D(E_F) 3.761 states/eV per cell, E_form (uncorrected) 349 meV/atom. Number 4: D(E_F) 4.023 states/eV per cell, E_form (uncorrected) 585 meV/atom. Number 5: D(E_F) 0.859 states/eV per cell, E_form (uncorrected) 343 meV/atom. Number 6: D(E_F) 3.964 states/eV per cell, E_form (uncorrected) 16 meV/atom. Number 7: D(E_F) 4.325 states/eV per cell, E_form (uncorrected) 146 meV/atom. Number 8: D(E_F) 3.254 states/eV per cell, E_form (uncorrected) -25 meV/atom. Number 9: D(E_F) 2.034 states/eV per cell, E_form (uncorrected) -188 meV/atom. Number 10: D(E_F) 4.954 states/eV per cell, E_form (uncorrected) 458 meV/atom. Number 11: D(E_F) 3.776 states/eV per cell, E_form (uncorrected) -284 meV/atom. Number 12: D(E_F) 1.710 states/eV per cell, E_form (uncorrected) -277 meV/atom. Number 13: D(E_F) 9.183 states/eV per cell, E_form (uncorrected) 546 meV/atom. Number 14: D(E_F) 4.911 states/eV per cell, E_form (uncorrected) -762 meV/atom. Number 15: D(E_F) 1.133 states/eV per cell, E_form (uncorrected) -279 meV/atom.